Below is an optimized crystal structure of LiCeSbS4, with properties calculated at the PBE level.

Computed properties:
The value obtained for the electronic total energy is -5.20 eV/atom. The spin magnetization comes out at 0.54 μB/cell. The calculation puts the formation energy from raw total energies at -1.1269 eV/atom.

Unit cell a=7.8251 b=8.1588 c=11.3253 alpha=90.00 beta=90.00 gamma=90.00
Closest atoms and distances in Å follow each position.
Space group Imma (No. 74)
Unique sites:
1 Li 0.0000 0.2500 0.1258  4 S 2.57-2.63
2 Ce 0.0000 0.0000 0.5000  6 S 2.72-2.75
3 Sb 0.2500 0.2500 0.7500  6 S 2.74-2.75
4 S 0.0000 0.0127 0.7398  1 Li 2.63, 1 Ce 2.72, 2 Sb 2.75
5 S 0.2355 0.2500 0.5082  1 Li 2.57, 1 Sb 2.74, 2 Ce 2.75

Below is an optimized crystal structure of LiCe2ScS5, with properties calculated at the PBE level.

Computed properties:
Its density of states at the Fermi level is 49.34 states/eV/cell. The value obtained for the electronic total energy is -6.38 eV/atom. The spin magnetization comes out at 7.42 μB/cell. The calculation puts the formation energy from raw total energies at -1.8522 eV/atom.

Unit cell a=3.9071 b=16.1713 c=11.6773 alpha=90.00 beta=90.00 gamma=90.00
Closest atoms and distances in Å follow each position.
Space group Cmc2_1 (No. 36)
Unique sites:
1 Li 0.0000 0.0408 0.0000  3 S 2.29-2.32
2 Ce 0.0000 0.3698 0.8366  8 S 2.84-3.03
3 Ce 0.0000 0.3929 0.2193  8 S 2.87-3.11
4 Sc 0.0000 0.3000 0.5436  6 S 2.48-2.65
5 S 0.0000 0.0042 0.3117  1 Li 2.32
6 S 0.0000 0.1399 0.5339  1 Sc 2.59
7 S 0.0000 0.1889 0.8935  2 Sc 2.63, 1 Li 2.70
8 S 0.0000 0.2156 0.1949  2 Sc 2.65, 3 Ce 2.88-2.91
9 S 0.0000 0.4474 0.6013  2 Li 2.29, 1 Sc 2.48

Below is an optimized crystal structure of Li3CeSc2S6, with properties calculated at the PBE level.

Computed properties:
Its density of states at the Fermi level is 13.63 states/eV/cell. The value obtained for the electronic total energy is -5.83 eV/atom. The spin magnetization comes out at 1.93 μB/cell. The calculation puts the formation energy from raw total energies at -1.7382 eV/atom.

Unit cell a=6.6132 b=11.4630 c=6.5041 alpha=90.00 beta=109.76 gamma=90.00
Closest atoms and distances in Å follow each position.
Space group C2/m (No. 12)
Unique sites:
1 Li 0.0000 0.0000 0.0000  6 S 2.59-2.76
2 Li 0.0000 0.3303 0.0000  6 S 2.58-2.77
3 Ce 0.0000 0.5000 0.5000  6 S 2.77-2.78
4 Sc 0.0000 0.1665 0.5000  6 S 2.62-2.63
5 S 0.2301 0.0000 0.7475  3 Li 2.59-2.77, 2 Sc 2.63, 1 Ce 2.78
6 S 0.2426 0.1762 0.2555  3 Li 2.58-2.76, 2 Sc 2.62, 1 Ce 2.77

Below is an optimized crystal structure of LiCe3Sc2S6, with properties calculated at the PBE level.

Computed properties:
Its density of states at the Fermi level is 33.79 states/eV/cell. The value obtained for the electronic total energy is -6.64 eV/atom. The spin magnetization comes out at 5.60 μB/cell. The calculation puts the formation energy from raw total energies at -1.8803 eV/atom.

Unit cell a=6.6838 b=11.5896 c=6.7243 alpha=90.00 beta=109.35 gamma=90.00
Closest atoms and distances in Å follow each position.
Space group C2/m (No. 12)
Unique sites:
1 Li 0.0000 0.0000 0.0000  6 S 2.63-2.65
2 Ce 0.0000 0.1650 0.5000  6 S 2.83-2.85
3 Ce 0.0000 0.5000 0.5000  6 S 2.84
4 Sc 0.0000 0.3332 0.0000  6 S 2.64
5 S 0.2408 0.5000 0.2217  1 Li 2.63, 2 Sc 2.64, 3 Ce 2.83-2.84
6 S 0.2416 0.1669 0.2242  2 Sc 2.64, 1 Li 2.65, 3 Ce 2.83-2.85

Below is an optimized crystal structure of Li2CeScS4, with properties calculated at the PBE level.

Computed properties:
Its density of states at the Fermi level is 6.66 states/eV/cell. The value obtained for the electronic total energy is -5.79 eV/atom. The spin magnetization comes out at 0.99 μB/cell. The calculation puts the formation energy from raw total energies at -1.7196 eV/atom.

Unit cell a=6.5323 b=3.8739 c=6.7082 alpha=90.00 beta=109.95 gamma=90.00
Closest atoms and distances in Å follow each position.
Space group P2/m (No. 10)
Unique sites:
1 Li 0.0000 0.0000 0.0000  6 S 2.65
2 Li 0.0000 0.5000 0.5000  6 S 2.78-2.80
3 Ce 0.5000 0.0000 0.5000  6 S 2.78
4 Sc 0.5000 0.5000 0.0000  6 S 2.62-2.65
5 S 0.2465 0.5000 0.2308  1 Sc 2.62, 3 Li 2.65-2.80, 2 Ce 2.78
6 S 0.2561 0.0000 0.7676  3 Li 2.65-2.78, 2 Sc 2.65, 1 Ce 2.78

Below is an optimized crystal structure of LiCe2ScS4, with properties calculated at the PBE level.

Computed properties:
Its density of states at the Fermi level is 10.94 states/eV/cell. The value obtained for the electronic total energy is -6.42 eV/atom. The spin magnetization comes out at 2.20 μB/cell. The calculation puts the formation energy from raw total energies at -1.8408 eV/atom.

Unit cell a=6.6871 b=3.8931 c=6.7562 alpha=90.00 beta=109.61 gamma=90.00
Closest atoms and distances in Å follow each position.
Space group P2/m (No. 10)
Unique sites:
1 Li 0.0000 0.0000 0.0000  6 S 2.66-2.67
2 Ce 0.5000 0.0000 0.5000  6 S 2.82-2.84
3 Ce 0.5000 0.5000 0.0000  6 S 2.84-2.85
4 Sc 0.0000 0.5000 0.5000  6 S 2.65
5 S 0.2245 0.0000 0.7406  2 Sc 2.65, 1 Li 2.66, 3 Ce 2.84
6 S 0.2265 0.5000 0.2455  1 Sc 2.65, 2 Li 2.67, 3 Ce 2.82-2.85

Below is an optimized crystal structure of LiCeScS4, with properties calculated at the PBE level.

Computed properties:
The value obtained for the electronic total energy is -6.11 eV/atom. The spin magnetization comes out at 0.00 μB/cell. The calculation puts the formation energy from raw total energies at -1.7307 eV/atom.

Unit cell a=7.4922 b=8.1428 c=10.9085 alpha=90.00 beta=90.00 gamma=90.00
Closest atoms and distances in Å follow each position.
Space group Imma (No. 74)
Unique sites:
1 Li 0.0000 0.2500 0.1367  4 S 2.52-2.59
2 Ce 0.0000 0.0000 0.5000  6 S 2.72-2.73
3 Sc 0.2500 0.2500 0.7500  6 S 2.60
4 S 0.0000 0.0278 0.7480  1 Li 2.59, 2 Sc 2.60, 1 Ce 2.72
5 S 0.2424 0.2500 0.5113  1 Li 2.52, 1 Sc 2.60, 2 Ce 2.73

Below is an optimized crystal structure of LiCe4Sc3S8, with properties calculated at the PBE level.

Computed properties:
Its density of states at the Fermi level is 67.72 states/eV/cell. The value obtained for the electronic total energy is -6.75 eV/atom. The spin magnetization comes out at 11.25 μB/cell. The calculation puts the formation energy from raw total energies at -1.8953 eV/atom.

Unit cell a=7.6989 b=7.6989 c=19.1075 alpha=90.00 beta=90.00 gamma=120.00
Closest atoms and distances in Å follow each position.
Space group R-3m (No. 166, hexagonal axes)
Unique sites:
1 Li 0.0000 0.0000 0.0000  6 S 2.64
2 Ce 0.0000 0.0000 0.5000  6 S 2.84
3 Ce 0.0000 0.5000 0.5000  6 S 2.83-2.84
4 Sc 0.0000 0.5000 0.0000  6 S 2.64
5 S 0.0000 0.0000 0.2587  3 Sc 2.64, 3 Ce 2.83
6 S 0.0000 0.5000 0.2592  2 Sc 2.64, 1 Li 2.64, 3 Ce 2.84

Below is an optimized crystal structure of LiCe2ScS6, with properties calculated at the PBE level.

Computed properties:
The value obtained for the electronic total energy is -6.17 eV/atom. The spin magnetization comes out at 0.00 μB/cell. The calculation puts the formation energy from raw total energies at -1.6788 eV/atom.

Unit cell a=6.7577 b=6.7577 c=18.0705 alpha=90.00 beta=90.00 gamma=120.00
Closest atoms and distances in Å follow each position.
Space group R3 (No. 146, hexagonal axes)
Unique sites:
1 Li 0.0000 0.0000 0.0000  6 S 2.62-2.80
2 Ce 0.0000 0.0000 0.2949  6 S 2.74-2.75
3 Ce 0.0000 0.0000 0.7994  6 S 2.72-2.74
4 Sc 0.0000 0.0000 0.4922  6 S 2.55-2.63
5 S 0.0397 0.6962 0.5639  1 Sc 2.55, 2 Ce 2.74-2.75, 1 Li 2.80
6 S 0.0417 0.3652 0.0650  1 Li 2.62, 1 Sc 2.63, 2 Ce 2.72-2.74

Below is an optimized crystal structure of Li3Ce2ScS6, with properties calculated at the PBE level.

Computed properties:
Its density of states at the Fermi level is 28.34 states/eV/cell. The value obtained for the electronic total energy is -5.78 eV/atom. The spin magnetization comes out at 4.02 μB/cell. The calculation puts the formation energy from raw total energies at -1.7224 eV/atom.

Unit cell a=6.8126 b=11.8704 c=6.5308 alpha=90.00 beta=109.65 gamma=90.00
Closest atoms and distances in Å follow each position.
Space group C2/m (No. 12)
Unique sites:
1 Li 0.0000 0.0000 0.0000  6 S 2.70-2.82
2 Li 0.0000 0.3496 0.0000  4 S 2.59-2.65
3 Ce 0.0000 0.1683 0.5000  6 S 2.81
4 Sc 0.0000 0.5000 0.5000  6 S 2.63-2.64
5 S 0.2360 0.5000 0.2535  3 Li 2.59-2.82, 1 Sc 2.63, 2 Ce 2.81
6 S 0.2381 0.3438 0.7515  1 Sc 2.64, 2 Li 2.65-2.70, 2 Ce 2.81

Below is an optimized crystal structure of Li2CeSc3S6, with properties calculated at the PBE level.

Computed properties:
Its density of states at the Fermi level is 16.17 states/eV/cell. The value obtained for the electronic total energy is -6.28 eV/atom. The spin magnetization comes out at 2.25 μB/cell. The calculation puts the formation energy from raw total energies at -1.8201 eV/atom.

Unit cell a=6.4679 b=11.2035 c=6.6559 alpha=90.00 beta=109.06 gamma=90.00
Closest atoms and distances in Å follow each position.
Space group C2/m (No. 12)
Unique sites:
1 Li 0.0000 0.1677 0.0000  6 S 2.68-2.70
2 Ce 0.0000 0.5000 0.0000  6 S 2.76-2.77
3 Sc 0.0000 0.0000 0.5000  6 S 2.57-2.65
4 Sc 0.0000 0.3335 0.5000  6 S 2.57-2.65
5 S 0.2411 0.1717 0.7379  3 Sc 2.57-2.65, 2 Li 2.68-2.69, 1 Ce 2.76
6 S 0.2443 0.0000 0.2629  3 Sc 2.57-2.65, 2 Li 2.70, 1 Ce 2.77

Below is an optimized crystal structure of LiCeSi2S6, with properties calculated at the PBE level.

Computed properties:
Its density of states at the Fermi level is 30.43 states/eV/cell. The value obtained for the electronic total energy is -5.37 eV/atom. The spin magnetization comes out at 4.00 μB/cell. The calculation puts the formation energy from raw total energies at -1.0281 eV/atom.

Unit cell a=12.3390 b=12.3176 c=6.1804 alpha=90.00 beta=102.08 gamma=90.00
Closest atoms and distances in Å follow each position.
Space group C2/c (No. 15)
Unique sites:
1 Li 0.0000 0.1692 0.2500  4 S 2.51-2.61
2 Ce 0.0000 0.3796 0.7500  6 S 2.80-3.01
3 Si 0.2037 0.0786 0.7666  4 S 2.09-2.18
4 S 0.1204 0.4142 0.1883  1 Si 2.13
5 S 0.1287 0.2177 0.6071  1 Si 2.09
6 S 0.1472 0.0673 0.0781  2 Si 2.18